An optimized crystal structure of Ba3MnIn2O8, computed with PBE+U.

Geometry as CIF:
```
data_Ba3MnIn2O8
_space_group_name_H-M_alt 'P -3 m 1'
_space_group_IT_number 164
_space_group_name_Hall '-P 3 2"'
_cell_length_a 5.8726
_cell_length_b 5.8726
_cell_length_c 7.7266
_cell_angle_alpha 90.00
_cell_angle_beta 90.00
_cell_angle_gamma 120.00
loop_
_atom_site_label
_atom_site_type_symbol
_atom_site_fract_x
_atom_site_fract_y
_atom_site_fract_z
Ba1 Ba 0.0000 0.0000 0.0000
Ba2 Ba 0.3333 0.6667 0.6370
Mn1 Mn 0.0000 0.0000 0.5000
In1 In 0.3333 0.6667 0.2113
O1 O 0.1541 0.3082 0.3448
O2 O 0.3333 0.6667 0.9560
```

Summary:
Electronic total energy ... -84.712 eV per cell